1.
The following is a PBE calculation of POs5 after structural relaxation, from the Alexandria database.

Lattice parameters (Å, degrees): 7.2433 7.2433 7.2433 90.00 90.00 90.00
Space group F-43m (No. 216)
Asymmetric unit:
P 0.0000 0.0000 0.0000
Os 0.1246 0.1246 0.3754
Os 0.2500 0.2500 0.7500

Values from the calculation:
Energy relative to the elements = 1.243 eV per atom
Crystal system = cubic
Calculated density = 17.166 g cm⁻³
Excess energy over the best structure of this formula in the dataset = 99.35 kJ per mole of atoms

2.
The following is a PBE calculation of ReOs after structural relaxation, from the Alexandria database.

Lattice parameters (Å, degrees): 4.8024 4.3765 5.5569 90.00 90.00 90.00
Space group Pnma (No. 62)
Asymmetric unit:
Re 0.0832 0.2500 0.1239
Os 0.0833 0.2500 0.6260

Values from the calculation:
Energy relative to the elements = -0.088 eV per atom
Crystal system = orthorhombic
Calculated density = 21.408 g cm⁻³
Excess energy over the best structure of this formula in the dataset = 0.48 kJ per mole of atoms

3.
The following is a PBE calculation of LaReSb after structural relaxation, from the Alexandria database.

Lattice parameters (Å, degrees): 3.4429 3.4429 11.8683 90.00 90.00 90.00
Space group I4mm (No. 107)
Asymmetric unit:
La 0.0000 0.0000 0.0000
Re 0.0000 0.0000 0.3296
Sb 0.0000 0.0000 0.7180

Values from the calculation:
Uncorrected formation energy = -23 meV per atom
Crystal system = tetragonal
Calculated density = 10.549 g cm⁻³
Excess energy over the best structure of this formula in the dataset = 0.00 kJ per mole of atoms

4.
The following is a PBE calculation of BaTcAsBr2 after structural relaxation, from the Alexandria database.

Lattice parameters (Å, degrees): 6.1653 6.1653 6.6521 90.00 90.00 90.00
Space group P4/mmm (No. 123)
Asymmetric unit:
Ba 0.0000 0.0000 0.0000
Tc 0.5000 0.5000 0.5000
As 0.0000 0.0000 0.5000
Br 0.0000 0.5000 0.0000

Values from the calculation:
Uncorrected formation energy = 532 meV per atom
Crystal system = tetragonal
Calculated density = 3.087 g cm⁻³
Excess energy over the best structure of this formula in the dataset = 107.49 kJ per mole of atoms

5.
The following is a PBE calculation of AcY2Te after structural relaxation, from the Alexandria database.

Lattice parameters (Å, degrees): 3.9909 3.9909 30.4383 90.00 90.00 120.00
Space group R3m (No. 160, hexagonal axes)
Asymmetric unit:
Ac 0.0000 0.0000 0.0000
Y 0.0000 0.0000 0.2335
Y 0.0000 0.0000 0.4334
Te 0.0000 0.0000 0.8335

Values from the calculation:
Uncorrected formation energy = -556 meV per atom
Crystal system = trigonal
Calculated density = 6.317 g cm⁻³
Excess energy over the best structure of this formula in the dataset = 1.16 kJ per mole of atoms

6.
The following is a PBE calculation of Tb2PmNdHo6 after structural relaxation, from the Alexandria database.

Lattice parameters (Å, degrees): 9.0806 15.0398 9.5856 90.00 97.57 90.00
Space group C2/c (No. 15)
Asymmetric unit:
Tb 0.2467 0.0521 0.0453
Pm 0.0000 0.4079 0.2500
Nd 0.0000 0.0249 0.7500
Ho 0.0654 0.1866 0.4426
Ho 0.0991 0.3919 0.6190
Ho 0.2036 0.2269 0.8183

Values from the calculation:
Energy relative to the elements = 0.123 eV per atom
Crystal system = monoclinic
Calculated density = 8.172 g cm⁻³

7.
The following is a PBE calculation of Tb2HoPaSb4 after structural relaxation, from the Alexandria database.

Lattice parameters (Å, degrees): 7.5869 4.3803 7.5972 90.00 109.35 90.00
Space group P2/m (No. 10)
Asymmetric unit:
Tb 0.0000 0.0000 0.0000
Tb 0.5000 0.5000 0.0000
Ho 0.0000 0.5000 0.5000
Pa 0.5000 0.0000 0.5000
Sb 0.2496 0.0000 0.7472
Sb 0.2497 0.5000 0.2513

Values from the calculation:
Uncorrected formation energy = -962 meV per atom
Crystal system = monoclinic
Calculated density = 8.371 g cm⁻³

8.
The following is a PBE calculation of AgPbF2 after structural relaxation, from the Alexandria database.

Lattice parameters (Å, degrees): 6.4594 6.4594 6.4594 90.00 90.00 90.00
Space group Fm-3m (No. 225)
Asymmetric unit:
Ag 0.0000 0.0000 0.0000
Pb 0.0000 0.0000 0.5000
F 0.2500 0.2500 0.2500

Values from the calculation:
Uncorrected formation energy = -1181 meV per atom
Crystal system = cubic
Calculated density = 8.701 g cm⁻³
Excess energy over the best structure of this formula in the dataset = 3.33 kJ per mole of atoms

9.
The following is a PBE calculation of LiReW after structural relaxation, from the Alexandria database.

Lattice parameters (Å, degrees): 2.6043 2.6043 13.6420 90.00 90.00 90.00
Space group I4mm (No. 107)
Asymmetric unit:
Li 0.0000 0.0000 0.0000
Re 0.0000 0.0000 0.3387
W 0.0000 0.0000 0.6706

Values from the calculation:
Energy relative to the elements = 0.591 eV per atom
Crystal system = tetragonal
Calculated density = 13.532 g cm⁻³
Excess energy over the best structure of this formula in the dataset = 41.97 kJ per mole of atoms

10.
The following is a PBE calculation of PSeS2I after structural relaxation, from the Alexandria database.

Lattice parameters (Å, degrees): 5.0066 5.0066 5.6343 90.00 90.00 90.00
Space group P4/mmm (No. 123)
Asymmetric unit:
P 0.0000 0.0000 0.0000
Se 0.5000 0.5000 0.0000
S 0.0000 0.5000 0.5000
I 0.5000 0.5000 0.5000

Values from the calculation:
Uncorrected formation energy = 1390 meV per atom
Crystal system = tetragonal
Calculated density = 3.539 g cm⁻³
Excess energy over the best structure of this formula in the dataset = 50.01 kJ per mole of atoms

11.
The following is a PBE calculation of CsMgGa2Ir after structural relaxation, from the Alexandria database.

Lattice parameters (Å, degrees): 4.9356 4.9356 5.2611 90.00 90.00 90.00
Space group P4/mmm (No. 123)
Asymmetric unit:
Cs 0.0000 0.0000 0.0000
Mg 0.5000 0.5000 0.0000
Ga 0.0000 0.5000 0.5000
Ir 0.5000 0.5000 0.5000

Values from the calculation:
Energy relative to the elements = -0.278 eV per atom
Crystal system = tetragonal
Calculated density = 6.334 g cm⁻³

12.
The following is a PBE calculation of Tc3HN after structural relaxation, from the Alexandria database.

Lattice parameters (Å, degrees): 3.9793 3.9793 3.9793 90.00 90.00 90.00
Space group Pm-3m (No. 221)
Asymmetric unit:
Tc 0.0000 0.0000 0.5000
H 0.5000 0.5000 0.5000
N 0.0000 0.0000 0.0000

Values from the calculation:
Crystal system = cubic
Calculated density = 8.144 g cm⁻³
Excess energy over the best structure of this formula in the dataset = 0.00 kJ per mole of atoms